*A*
# HfMgSc | Alexandria | PBE | optimized geometry
# D(E_F) = 4.908 states/eV/cell
# Crystal system = tetragonal
# Space-group type = I4mm
data_HfMgSc
_symmetry_space_group_name_H-M 'P 1'
_symmetry_Int_Tables_number 1
_cell_length_a 3.208
_cell_length_b 3.208
_cell_length_c 13.376
_cell_angle_alpha 90.00
_cell_angle_beta 90.00
_cell_angle_gamma 90.00
loop_
_symmetry_equiv_pos_as_xyz
'x,y,z'
loop_
_atom_site_label
_atom_site_fract_x
_atom_site_fract_y
_atom_site_fract_z
Hf1 0.000 0.000 0.000
Hf2 0.500 0.500 0.500
Mg1 0.000 0.000 0.668
Mg2 0.500 0.500 0.168
Sc1 0.000 0.000 0.344
Sc2 0.500 0.500 0.844


*B*
# HfMgSc | Alexandria | PBE | optimized geometry
# D(E_F) = 7.176 states/eV/cell
# Crystal system = orthorhombic
# Space-group type = Pmmn
data_HfMgSc
_symmetry_space_group_name_H-M 'P 1'
_symmetry_Int_Tables_number 1
_cell_length_a 3.101
_cell_length_b 3.137
_cell_length_c 14.899
_cell_angle_alpha 90.00
_cell_angle_beta 90.00
_cell_angle_gamma 90.00
loop_
_symmetry_equiv_pos_as_xyz
'x,y,z'
loop_
_atom_site_label
_atom_site_fract_x
_atom_site_fract_y
_atom_site_fract_z
Hf1 0.250 0.250 0.077
Hf2 0.750 0.750 0.923
Mg1 0.250 0.750 0.581
Mg2 0.750 0.250 0.419
Sc1 0.250 0.250 0.773
Sc2 0.750 0.750 0.227


Least stable structure: *B*


*A*
# HfMgSc | Alexandria | PBE | optimized geometry
# D(E_F) = 3.324 states/eV/cell
# Crystal system = trigonal
# Space-group type = P3m1
data_HfMgSc
_symmetry_space_group_name_H-M 'P 1'
_symmetry_Int_Tables_number 1
_cell_length_a 3.187
_cell_length_b 3.187
_cell_length_c 7.911
_cell_angle_alpha 90.00
_cell_angle_beta 90.00
_cell_angle_gamma 120.00
loop_
_symmetry_equiv_pos_as_xyz
'x,y,z'
loop_
_atom_site_label
_atom_site_fract_x
_atom_site_fract_y
_atom_site_fract_z
Hf1 0.000 0.000 0.000
Mg1 0.333 0.667 0.662
Sc1 0.667 0.333 0.314


*B*
# HfMgSc | Alexandria | PBE | optimized geometry
# D(E_F) = 5.547 states/eV/cell
# Crystal system = tetragonal
# Space-group type = P4/nmm
data_HfMgSc
_symmetry_space_group_name_H-M 'P 1'
_symmetry_Int_Tables_number 1
_cell_length_a 3.206
_cell_length_b 3.206
_cell_length_c 13.398
_cell_angle_alpha 90.00
_cell_angle_beta 90.00
_cell_angle_gamma 90.00
loop_
_symmetry_equiv_pos_as_xyz
'x,y,z'
loop_
_atom_site_label
_atom_site_fract_x
_atom_site_fract_y
_atom_site_fract_z
Hf1 0.250 0.250 0.083
Hf2 0.750 0.750 0.917
Mg1 0.250 0.250 0.419
Mg2 0.750 0.750 0.581
Sc1 0.250 0.250 0.754
Sc2 0.750 0.750 0.246


Least stable structure: *A*